[1]
DFT (PBE) results for crystalline Hf3TaC at its relaxed geometry.

Computed properties:
ΔE to the lowest computed polymorph ... 2561 meV/atom
Formation energy ... 2343 meV per atom
Magnetization ... 0.00 μB per formula unit

a b c (Å): 5.0533 5.0533 5.0533
angles (deg): 90.00 90.00 90.00
Last column: nearest neighbours and their distance in Å.
Element x y z (fractional)
C: 0.5000 0.5000 0.5000  12 Hf 3.57
Hf: 0.0000 0.5000 0.0000  2 Ta 2.53
Hf: 0.0000 0.0000 0.5000  2 Ta 2.53
Hf: 0.5000 0.0000 0.0000  2 Ta 2.53
Ta: 0.0000 0.0000 0.0000  6 Hf 2.53


[2]
DFT (PBE) results for crystalline HfTaC at its relaxed geometry.

Computed properties:
ΔE to the lowest computed polymorph ... 52 meV/atom
Formation energy ... -547 meV per atom
Magnetization ... 0.00 μB per formula unit

a b c (Å): 3.2320 4.3727 6.5017
angles (deg): 90.00 90.00 90.00
Last column: nearest neighbours and their distance in Å.
Element x y z (fractional)
Hf: 0.5000 0.5000 0.1317  2 C 2.26
Hf: 0.0000 0.0000 0.8683  2 C 2.26
Ta: 0.0000 0.0000 0.3946  4 C 2.19-2.20
Ta: 0.5000 0.5000 0.6054  4 C 2.19-2.20
C: 0.5000 0.0000 0.6253  4 Ta 2.19-2.20, 2 Hf 2.26
C: 0.0000 0.5000 0.3747  4 Ta 2.19-2.20, 2 Hf 2.26


[3]
DFT (PBE) results for crystalline HfTa5C3 at its relaxed geometry.

Computed properties:
Formation energy ... -505 meV per atom
Magnetization ... 0.00 μB per formula unit

a b c (Å): 6.1199 6.1199 8.0928
angles (deg): 69.54 69.54 73.15
Last column: nearest neighbours and their distance in Å.
Element x y z (fractional)
Hf: 0.8983 0.8983 0.3056  3 C 2.20-2.24
Hf: 0.1017 0.1017 0.6944  3 C 2.20-2.24
Ta: 0.6320 0.0404 0.6699  3 C 2.16-2.20
Ta: 0.2960 0.7040 0.0000  3 C 2.16-2.19
Ta: 0.2352 0.2352 0.9705  3 C 2.18-2.22
Ta: 0.5699 0.5699 0.6368  3 C 2.18-2.21
Ta: 0.4301 0.4301 0.3632  3 C 2.18-2.21
Ta: 0.7648 0.7648 0.0295  3 C 2.18-2.22
Ta: 0.0404 0.6320 0.6699  3 C 2.16-2.20
Ta: 0.7040 0.2960 0.0000  3 C 2.16-2.19
Ta: 0.3680 0.9596 0.3301  3 C 2.16-2.20
Ta: 0.9596 0.3680 0.3301  3 C 2.16-2.20
C: 0.3328 0.3328 0.1657  6 Ta 2.18-2.20
C: 0.3387 0.3387 0.6657  5 Ta 2.16-2.22, 1 Hf 2.24
C: 0.0000 0.0000 0.0000  4 Ta 2.16-2.22, 2 Hf 2.23
C: 0.0000 0.0000 0.5000  4 Ta 2.18, 2 Hf 2.20
C: 0.6672 0.6672 0.8343  6 Ta 2.18-2.20
C: 0.6613 0.6613 0.3343  5 Ta 2.16-2.22, 1 Hf 2.24


[4]
DFT (PBE) results for crystalline Hf5TaC6 at its relaxed geometry.

Computed properties:
Formation energy ... -917 meV per atom
Magnetization ... 0.00 μB per formula unit

a b c (Å): 5.6544 5.6570 5.6548
angles (deg): 59.99 80.39 70.50
Last column: nearest neighbours and their distance in Å.
Element x y z (fractional)
C: 0.7538 0.0819 0.3282  1 Ta 2.27, 5 Hf 2.31-2.34
C: 0.2462 0.5898 0.3282  1 Ta 2.27, 5 Hf 2.31-2.34
C: 0.2468 0.2457 0.0000  1 Ta 2.27, 5 Hf 2.31-2.34
C: 0.7532 0.7543 0.0000  1 Ta 2.27, 5 Hf 2.31-2.34
C: 0.7538 0.4102 0.6718  1 Ta 2.27, 5 Hf 2.31-2.34
C: 0.2462 0.9181 0.6718  1 Ta 2.27, 5 Hf 2.31-2.34
Hf: 0.5000 0.1670 0.6659  6 C 2.31-2.34
Hf: 0.0000 0.3336 0.3329  6 C 2.31
Hf: 0.5000 0.5000 0.0000  6 C 2.31-2.34
Hf: 0.0000 0.6664 0.6671  6 C 2.31
Hf: 0.5000 0.8330 0.3341  6 C 2.31-2.34
Ta: 0.0000 0.0000 0.0000  6 C 2.27